This record from Alexandria via LeMat-Bulk describes an optimized crystal structure of Y3Zr. The functional is GGA-PBEsol.

Cell lengths 3.395, 4.753, 6.903 Å; angles 90.00, 90.00, 90.00 degrees
Atoms (fractional coordinates):
Y  0.000  0.000  0.000
Y  0.500  0.500  0.267
Y  0.500  0.500  0.733
Zr  0.000  0.000  0.500

* electronic total energy: -7.30 eV/atom
* crystal system: orthorhombic
* symmetry: Pmmm
* formation enthalpy at 0 K: 0.088 eV per atom
* calculated volume: 111.4 Å³/cell

---

This record from Alexandria via LeMat-Bulk describes an optimized crystal structure of KSbMo2. The functional is GGA-PBEsol.

Cell lengths 5.718, 5.718, 2.762 Å; angles 90.00, 90.00, 119.18 degrees
Atoms (fractional coordinates):
K  0.000  0.000  0.000
Sb  0.500  0.500  0.000
Mo  0.000  0.500  0.500
Mo  0.500  0.000  0.500

* electronic total energy: -5.94 eV/atom
* crystal system: orthorhombic
* energy relative to the elements, uncorrected: 5.45 eV/f.u.
* symmetry: Cmmm
* calculated volume: 78.9 Å³/cell

---

This record from Alexandria via LeMat-Bulk describes an optimized crystal structure of ScTc4Br. The functional is GGA-PBEsol.

Cell lengths 5.180, 5.180, 5.180 Å; angles 60.00, 60.00, 60.00 degrees
Atoms (fractional coordinates):
Sc  0.000  0.000  0.000
Tc  0.375  0.375  0.375
Tc  0.375  0.375  0.874
Tc  0.375  0.874  0.375
Tc  0.874  0.375  0.375
Br  0.750  0.750  0.750

* electronic total energy: -8.42 eV/atom
* crystal system: cubic
* energy relative to the elements, uncorrected: 3.02 eV/f.u.
* symmetry: F-43m
* calculated volume: 98.3 Å³/cell